A plane-wave DFT calculation with GGA-PBE was carried out for a relaxed structure of NaCu3H.

The structure in POSCAR format:
```
NaCu3H
1.0
3.912 0.000 0.000
0.000 3.912 0.000
0.000 0.000 3.912
Na H Cu
1 1 3
direct
0.500 0.500 0.500 Na
0.000 0.000 0.000 H
0.000 0.500 0.000 Cu
0.000 0.000 0.500 Cu
0.500 0.000 0.000 Cu
```

Values from the calculation:
The calculation puts the density of states at the Fermi level at 0.242 states/eV/atom. The polymorph energy (0 for the lowest one) comes out at 0 meV/atom. As for the final energy: -3.07 eV/atom. For the spin magnetization, the calculation gives 0.00 μB per formula unit.